No. 1
# Dy3Mg8

A geometry-optimized Dy3Mg8 structure (PBE-GGA, the Alexandria database).

Density of states at the Fermi level: 6.75 states/eV/f.u.
Size of the total moment: 0.00 μB/cell
E_tot: -27.2 eV/cell

a = 5.1833 Å, b = 5.1833 Å, c = 12.1713 Å
α = 77.71°, β = 77.71°, γ = 60.00°
Fractional coordinates of all 11 atoms:
1 Mg 0.8242 0.8242 0.5274
2 Mg 0.0882 0.0882 0.7354
3 Mg 0.9118 0.9118 0.2646
4 Mg 0.2725 0.2725 0.1825
5 Mg 0.3628 0.3628 0.9116
6 Mg 0.1758 0.1758 0.4726
7 Mg 0.7275 0.7275 0.8175
8 Mg 0.6372 0.6372 0.0884
9 Dy 0.5479 0.5479 0.3562
10 Dy 0.0000 0.0000 0.0000
11 Dy 0.4521 0.4521 0.6438

---

No. 2
# Ba3Cl

A geometry-optimized Ba3Cl structure (PBE-GGA, the Alexandria database).

Density of states at the Fermi level: 5.24 states/eV/f.u.
Size of the total moment: 2.22 μB/cell
E_tot: -18.2 eV/cell
Energy above the most stable polymorph in this dataset: 1.93 eV/f.u.

a = 7.5290 Å, b = 7.5290 Å, c = 7.5290 Å
α = 90.00°, β = 90.00°, γ = 90.00°
Fractional coordinates of all 8 atoms:
1 Cl 0.0000 0.0000 0.0000
2 Cl 0.5000 0.5000 0.5000
3 Ba 0.7500 0.5000 0.0000
4 Ba 0.2500 0.5000 0.0000
5 Ba 0.5000 0.0000 0.7500
6 Ba 0.0000 0.2500 0.5000
7 Ba 0.5000 0.0000 0.2500
8 Ba 0.0000 0.7500 0.5000

---

- Look up the E_tot of the first one.
  -27.2 eV/cell

---

- Which formula does entry 2 have?
  Ba3Cl

---

- E_tot of number 1 (Dy3Mg8)?
  -27.2 eV/cell

---

- Which of these has the lowest size of the total moment?
  Dy3Mg8